# 1
Entry from Alexandria via LeMat-Bulk: Tb2Ho2Ge3 after structural relaxation (GGA-PBE).

Computed properties:
Final energy ... -36.70 eV/cell
Space-group type ... No. 12
Formation enthalpy at 0 K ... -4.43 eV/f.u.

abc: 4.593 5.748 8.066
angles: 101.26 89.99 113.54
Element x y z (fractional)
1 Tb 0.872 0.744 0.648
2 Tb 0.128 0.256 0.352
3 Ho 0.639 0.277 0.915
4 Ho 0.361 0.723 0.085
5 Ge 0.000 0.000 0.000
6 Ge 0.793 0.587 0.280
7 Ge 0.207 0.413 0.720


# 2
Entry from Alexandria via LeMat-Bulk: Tb2HoGe after structural relaxation (GGA-PBE).

Computed properties:
Final energy ... -17.89 eV/cell
Space-group type ... No. 166
Formation enthalpy at 0 K ... 0.57 eV/f.u.

abc: 3.476 3.476 11.671
angles: 81.44 81.44 60.00
Element x y z (fractional)
1 Ge 0.000 0.000 0.000
2 Tb 0.084 0.084 0.748
3 Tb 0.916 0.916 0.252
4 Ho 0.500 0.500 0.500


# 3
Entry from Alexandria via LeMat-Bulk: Tb5HoGe4 after structural relaxation (GGA-PBE).

Computed properties:
Final energy ... -52.58 eV/cell
Space-group type ... No. 12
Formation enthalpy at 0 K ... -6.39 eV/f.u.

abc: 4.956 6.904 10.580
angles: 130.51 103.55 90.00
Element x y z (fractional)
1 Tb 0.835 0.676 0.670
2 Tb 0.835 0.164 0.670
3 Tb 0.165 0.836 0.330
4 Tb 0.500 0.500 0.000
5 Tb 0.165 0.324 0.330
6 Ho 0.500 0.000 0.000
7 Ge 0.322 0.893 0.643
8 Ge 0.990 0.732 0.980
9 Ge 0.678 0.107 0.357
10 Ge 0.010 0.268 0.020


# 4
Entry from Alexandria via LeMat-Bulk: Tb2HoGe after structural relaxation (GGA-PBE).

Computed properties:
Final energy ... -19.77 eV/cell
Space-group type ... No. 123
Formation enthalpy at 0 K ... -1.32 eV/f.u.

abc: 4.670 4.668 4.668
angles: 90.00 90.00 90.00
Element x y z (fractional)
1 Ge 0.500 0.500 0.500
2 Tb 0.000 0.000 0.500
3 Tb 0.000 0.500 0.000
4 Ho 0.500 0.000 0.000


# 5
Entry from Alexandria via LeMat-Bulk: TbHo2Ge after structural relaxation (GGA-PBE).

Computed properties:
Final energy ... -19.70 eV/cell
Space-group type ... No. 123
Formation enthalpy at 0 K ... -1.30 eV/f.u.

abc: 4.657 4.657 4.657
angles: 90.00 90.00 90.00
Element x y z (fractional)
1 Ge 0.500 0.500 0.500
2 Tb 0.500 0.000 0.000
3 Ho 0.000 0.000 0.500
4 Ho 0.000 0.500 0.000


# 6
Entry from Alexandria via LeMat-Bulk: Tb4HoGe4 after structural relaxation (GGA-PBE).

Computed properties:
Final energy ... -93.71 eV/cell
Space-group type ... No. 86
Formation enthalpy at 0 K ... -5.29 eV/f.u.

abc: 5.866 9.087 9.087
angles: 90.00 90.00 90.00
Element x y z (fractional)
1 Tb 0.383 0.322 0.910
2 Tb 0.883 0.590 0.822
3 Tb 0.383 0.678 0.090
4 Tb 0.117 0.178 0.590
5 Tb 0.617 0.910 0.678
6 Tb 0.117 0.822 0.410
7 Tb 0.883 0.410 0.178
8 Tb 0.617 0.090 0.322
9 Ho 0.000 0.000 0.000
10 Ho 0.500 0.500 0.500
11 Ge 0.620 0.772 0.372
12 Ge 0.620 0.228 0.628
13 Ge 0.120 0.872 0.728
14 Ge 0.880 0.272 0.872
15 Ge 0.880 0.728 0.128
16 Ge 0.380 0.372 0.228
17 Ge 0.380 0.628 0.772
18 Ge 0.120 0.128 0.272


# 7
Entry from Alexandria via LeMat-Bulk: TbHo2Ge after structural relaxation (GGA-PBE).

Computed properties:
Final energy ... -18.55 eV/cell
Space-group type ... No. 166
Formation enthalpy at 0 K ... -0.14 eV/f.u.

abc: 3.547 3.547 11.106
angles: 80.81 80.81 60.00
Site moments in Bohr magnetons follow the coordinates.
Element x y z (fractional)
1 Ge 0.500 0.500 0.500  -0.01
2 Tb 0.000 0.000 0.000  0.24
3 Ho 0.105 0.105 0.686  0.06
4 Ho 0.895 0.895 0.314  0.06


# 8
Entry from Alexandria via LeMat-Bulk: Tb3Ho2Ge4 after structural relaxation (GGA-PBE).

Computed properties:
Final energy ... -98.56 eV/cell
Space-group type ... No. 14
Formation enthalpy at 0 K ... -7.76 eV/f.u.

abc: 7.612 8.668 7.793
angles: 90.00 90.00 121.90
Element x y z (fractional)
1 Tb 0.000 0.500 0.500
2 Tb 0.500 0.500 0.000
3 Tb 0.639 0.200 0.820
4 Tb 0.861 0.800 0.320
5 Tb 0.361 0.800 0.180
6 Tb 0.139 0.200 0.680
7 Ho 0.510 0.237 0.337
8 Ho 0.990 0.763 0.837
9 Ho 0.490 0.763 0.663
10 Ho 0.010 0.237 0.163
11 Ge 0.764 0.087 0.465
12 Ge 0.736 0.913 0.965
13 Ge 0.236 0.913 0.535
14 Ge 0.264 0.087 0.035
15 Ge 0.880 0.509 0.131
16 Ge 0.620 0.491 0.631
17 Ge 0.120 0.491 0.869
18 Ge 0.380 0.509 0.369


# 9
Entry from Alexandria via LeMat-Bulk: Tb3Ho4Ge4 after structural relaxation (GGA-PBE).

Computed properties:
Final energy ... -57.41 eV/cell
Space-group type ... No. 71
Formation enthalpy at 0 K ... -6.74 eV/f.u.

abc: 3.930 8.681 9.532
angles: 117.09 101.90 90.00
Site moments in Bohr magnetons follow the coordinates.
Element x y z (fractional)
1 Tb 0.100 0.100 0.200  0.08
2 Tb 0.900 0.900 0.800  0.08
3 Tb 0.000 0.500 0.000  0.01
4 Ho 0.329 0.143 0.658  0.12
5 Ho 0.671 0.485 0.342  0.12
6 Ho 0.671 0.857 0.342  0.12
7 Ho 0.329 0.515 0.658  0.12
8 Ge 0.265 0.765 0.530  0.00
9 Ge 0.735 0.235 0.470  0.00
10 Ge 0.500 0.779 0.000  0.00
11 Ge 0.500 0.221 0.000  0.00


# 10
Entry from Alexandria via LeMat-Bulk: TbHoZnGe after structural relaxation (GGA-PBE).

Computed properties:
Final energy ... -17.58 eV/cell
Space-group type ... No. 38
Formation enthalpy at 0 K ... -2.48 eV/f.u.

abc: 4.195 4.106 5.829
angles: 90.00 111.09 90.00
Site moments in Bohr magnetons follow the coordinates.
Element x y z (fractional)
1 Tb 0.142 0.000 0.284  0.12
2 Ho 0.860 0.500 0.720  0.10
3 Zn 0.575 0.500 0.149  0.01
4 Ge 0.423 0.000 0.846  -0.01


# 11
Entry from Alexandria via LeMat-Bulk: TbHoZnGe after structural relaxation (GGA-PBE).

Computed properties:
Final energy ... -17.21 eV/cell
Space-group type ... No. 216
Formation enthalpy at 0 K ... -2.11 eV/f.u.

abc: 5.017 5.017 5.017
angles: 60.00 60.00 60.00
Element x y z (fractional)
1 Zn 0.750 0.750 0.750
2 Ge 0.250 0.250 0.250
3 Tb 0.000 0.000 0.000
4 Ho 0.500 0.500 0.500


# 12
Entry from Alexandria via LeMat-Bulk: Tb2HoZn2Ge2 after structural relaxation (GGA-PBE).

Computed properties:
Final energy ... -28.76 eV/cell
Space-group type ... No. 166
Formation enthalpy at 0 K ... -3.14 eV/f.u.

abc: 4.129 4.129 11.322
angles: 79.49 79.49 60.00
Element x y z (fractional)
1 Tb 0.123 0.123 0.630
2 Tb 0.877 0.877 0.370
3 Ho 0.000 0.000 0.000
4 Zn 0.611 0.611 0.167
5 Zn 0.389 0.389 0.833
6 Ge 0.734 0.734 0.798
7 Ge 0.266 0.266 0.202


# 13
Entry from Alexandria via LeMat-Bulk: HoTcGe2 after structural relaxation (GGA-PBE).

Computed properties:
Final energy ... -20.27 eV/cell
Space-group type ... No. 166
Formation enthalpy at 0 K ... 3.91 eV/f.u.

abc: 4.697 4.697 7.064
angles: 70.58 70.58 60.00
Site moments in Bohr magnetons follow the coordinates.
Element x y z (fractional)
1 Ge 0.123 0.123 0.632  -0.06
2 Ge 0.877 0.877 0.368  -0.06
3 Ho 0.500 0.500 0.500  -0.08
4 Tc 0.000 0.000 0.000  2.65


# 14
Entry from Alexandria via LeMat-Bulk: Ho2Tc3Ge4 after structural relaxation (GGA-PBE).

Computed properties:
Final energy ... -62.22 eV/cell
Space-group type ... No. 69
Formation enthalpy at 0 K ... -3.49 eV/f.u.

abc: 5.430 5.430 7.023
angles: 101.20 101.20 119.82
Element x y z (fractional)
1 Ho 0.635 0.635 0.269
2 Ho 0.365 0.365 0.731
3 Tc 0.500 0.000 0.000
4 Tc 0.000 0.000 0.000
5 Tc 0.000 0.500 0.000
6 Ge 0.003 0.674 0.677
7 Ge 0.674 0.003 0.677
8 Ge 0.997 0.326 0.323
9 Ge 0.326 0.997 0.323


# 15
Entry from Alexandria via LeMat-Bulk: HoTcGe2 after structural relaxation (GGA-PBE).

Computed properties:
Final energy ... -52.40 eV/cell
Space-group type ... No. 15
Formation enthalpy at 0 K ... -2.02 eV/f.u.

abc: 5.729 6.049 6.049
angles: 117.88 106.00 106.00
Element x y z (fractional)
1 Ho 0.750 0.866 0.134
2 Ho 0.250 0.134 0.866
3 Tc 0.750 0.536 0.464
4 Tc 0.250 0.464 0.536
5 Ge 0.911 0.390 0.114
6 Ge 0.589 0.886 0.610
7 Ge 0.089 0.610 0.886
8 Ge 0.411 0.114 0.390


# 16
Entry from Alexandria via LeMat-Bulk: HoTcGe2 after structural relaxation (GGA-PBE).

Computed properties:
Final energy ... -104.25 eV/cell
Space-group type ... No. 62
Formation enthalpy at 0 K ... -1.88 eV/f.u.

abc: 4.362 6.828 10.235
angles: 90.00 90.00 90.00
Element x y z (fractional)
1 Ho 0.750 0.766 0.316
2 Ho 0.750 0.266 0.184
3 Ho 0.250 0.234 0.684
4 Ho 0.250 0.734 0.816
5 Tc 0.250 0.094 0.406
6 Tc 0.750 0.906 0.594
7 Tc 0.250 0.594 0.094
8 Tc 0.750 0.406 0.906
9 Ge 0.750 0.738 0.017
10 Ge 0.250 0.262 0.983
11 Ge 0.750 0.238 0.483
12 Ge 0.250 0.762 0.517
13 Ge 0.750 0.035 0.827
14 Ge 0.250 0.465 0.327
15 Ge 0.750 0.535 0.673
16 Ge 0.250 0.965 0.173


# 17
Entry from Alexandria via LeMat-Bulk: Ho2Tc3Ge5 after structural relaxation (GGA-PBE).

Computed properties:
Final energy ... -136.43 eV/cell
Space-group type ... No. 72
Formation enthalpy at 0 K ... -4.88 eV/f.u.

abc: 5.722 8.595 8.595
angles: 69.87 70.56 70.56
Site moments in Bohr magnetons follow the coordinates.
Element x y z (fractional)
1 Ho 0.140 0.599 0.122  -0.01
2 Ho 0.640 0.122 0.599  -0.01
3 Ho 0.860 0.401 0.878  -0.01
4 Ho 0.360 0.878 0.401  -0.01
5 Tc 0.349 0.569 0.733  -0.01
6 Tc 0.849 0.733 0.569  -0.01
7 Tc 0.651 0.431 0.267  -0.01
8 Tc 0.151 0.267 0.431  -0.01
9 Tc 0.250 0.000 0.000  0.38
10 Tc 0.750 0.000 0.000  0.38
11 Ge 0.413 0.274 0.900  0.00
12 Ge 0.913 0.900 0.274  0.00
13 Ge 0.587 0.726 0.100  0.00
14 Ge 0.087 0.100 0.726  0.00
15 Ge 0.454 0.796 0.796  0.00
16 Ge 0.546 0.204 0.204  0.00
17 Ge 0.750 0.500 0.500  0.00
18 Ge 0.250 0.500 0.500  0.00
19 Ge 0.046 0.204 0.204  0.00
20 Ge 0.954 0.796 0.796  0.00


# 18
Entry from Alexandria via LeMat-Bulk: HoTcGe after structural relaxation (GGA-PBE).

Computed properties:
Final energy ... -125.75 eV/cell
Space-group type ... No. 51
Formation enthalpy at 0 K ... -1.40 eV/f.u.

abc: 3.648 7.183 12.941
angles: 90.00 90.00 90.00
Element x y z (fractional)
1 Ho 0.000 0.274 0.952
2 Ho 0.000 0.726 0.048
3 Ho 0.000 0.274 0.548
4 Ho 0.000 0.726 0.452
5 Ho 0.000 0.162 0.250
6 Ho 0.000 0.838 0.750
7 Ge 0.500 0.055 0.095
8 Ge 0.500 0.945 0.905
9 Ge 0.500 0.055 0.405
10 Ge 0.500 0.945 0.595
11 Ge 0.000 0.557 0.250
12 Ge 0.000 0.443 0.750
13 Tc 0.500 0.420 0.128
14 Tc 0.500 0.580 0.872
15 Tc 0.500 0.420 0.372
16 Tc 0.500 0.580 0.628
17 Tc 0.500 0.807 0.250
18 Tc 0.500 0.193 0.750


# 19
Entry from Alexandria via LeMat-Bulk: HoTc2Ge2 after structural relaxation (GGA-PBE).

Computed properties:
Final energy ... -72.09 eV/cell
Space-group type ... No. 15
Formation enthalpy at 0 K ... -1.50 eV/f.u.

abc: 5.785 5.785 7.404
angles: 100.35 100.35 122.78
Element x y z (fractional)
1 Ho 0.875 0.625 0.750
2 Ho 0.125 0.375 0.250
3 Tc 0.266 0.016 0.532
4 Tc 0.516 0.766 0.032
5 Tc 0.734 0.984 0.468
6 Tc 0.484 0.234 0.968
7 Ge 0.179 0.321 0.750
8 Ge 0.429 0.071 0.250
9 Ge 0.571 0.929 0.750
10 Ge 0.821 0.679 0.250


# 20
Entry from Alexandria via LeMat-Bulk: HoTc2Ge2 after structural relaxation (GGA-PBE).

Computed properties:
Final energy ... -73.63 eV/cell
Space-group type ... No. 12
Formation enthalpy at 0 K ... -2.27 eV/f.u.

abc: 4.124 4.192 11.024
angles: 99.10 100.78 90.00
Element x y z (fractional)
1 Ho 0.349 0.633 0.698
2 Ho 0.651 0.367 0.302
3 Tc 0.037 0.282 0.074
4 Tc 0.464 0.221 0.929
5 Tc 0.963 0.718 0.926
6 Tc 0.536 0.779 0.071
7 Ge 0.226 0.847 0.453
8 Ge 0.774 0.153 0.547
9 Ge 0.891 0.157 0.783
10 Ge 0.109 0.843 0.217


# 21
Entry from Alexandria via LeMat-Bulk: HoTcGe after structural relaxation (GGA-PBE).

Computed properties:
Final energy ... -42.19 eV/cell
Space-group type ... No. 129
Formation enthalpy at 0 K ... -1.54 eV/f.u.

abc: 4.012 4.012 7.259
angles: 90.00 90.00 90.00
Element x y z (fractional)
1 Ho 0.000 0.500 0.840
2 Ho 0.500 0.000 0.160
3 Tc 0.500 0.500 0.500
4 Tc 0.000 0.000 0.500
5 Ge 0.000 0.500 0.271
6 Ge 0.500 0.000 0.729


# 22
Entry from Alexandria via LeMat-Bulk: HoTcGe after structural relaxation (GGA-PBE).

Computed properties:
Final energy ... -20.62 eV/cell
Space-group type ... No. 187
Formation enthalpy at 0 K ... -1.06 eV/f.u.

abc: 3.679 4.326 4.326
angles: 120.00 90.00 90.00
Element x y z (fractional)
1 Ge 0.167 0.000 0.000
2 Ho 0.667 0.667 0.333
3 Tc 0.167 0.333 0.667


# 23
Entry from Alexandria via LeMat-Bulk: Ho2TcGe3 after structural relaxation (GGA-PBE).

Computed properties:
Final energy ... -35.49 eV/cell
Space-group type ... No. 71
Formation enthalpy at 0 K ... -2.11 eV/f.u.

abc: 4.416 5.522 6.225
angles: 116.33 110.77 90.00
Element x y z (fractional)
1 Ho 0.683 0.183 0.366
2 Ho 0.317 0.817 0.634
3 Tc 0.000 0.500 0.000
4 Ge 0.370 0.370 0.740
5 Ge 0.000 0.000 0.000
6 Ge 0.630 0.630 0.260